(1)
! AlZnOF2 PBE-GGA relaxed; values from VASP
! Space group: P4/mmm, No. 123
! E_form (uncorrected), meV/atom: -1332
! Energy above the most stable polymorph in this dataset, meV per atom: 815
! Calculated volume, Å³/cell: 64.2
&SYSTEM
  ibrav = 0, nat = 5, ntyp = 4
/
ATOMIC_SPECIES
Al 26.98 Al.upf
Zn 65.41 Zn.upf
O 16.00 O.upf
F 19.00 F.upf
CELL_PARAMETERS angstrom
3.8959 0.0000 0.0000
0.0000 3.8959 0.0000
0.0000 0.0000 4.2270
ATOMIC_POSITIONS crystal
Al 0.0000 0.0000 0.0000
Zn 0.5000 0.5000 0.5000
O 0.5000 0.5000 0.0000
F 0.0000 0.5000 0.5000
F 0.5000 0.0000 0.5000

(2)
! KCa2Ir PBE-GGA relaxed; values from VASP
! Space group: R3m, No. 160
! Energy above the most stable polymorph in this dataset, meV per atom: 517
! E_form, eV per atom: 0.426
! Calculated volume, Å³/cell: 132.1
&SYSTEM
  ibrav = 0, nat = 4, ntyp = 3
/
ATOMIC_SPECIES
K 39.10 K.upf
Ca 40.08 Ca.upf
Ir 192.22 Ir.upf
CELL_PARAMETERS angstrom
1.8095 1.0447 11.6427
-1.8095 1.0447 11.6427
0.0000 -2.0895 11.6427
ATOMIC_POSITIONS crystal
K 0.0000 0.0000 0.0000
Ca 0.2229 0.2229 0.2229
Ca 0.4569 0.4569 0.4569
Ir 0.7363 0.7363 0.7363

(3)
! Sm3Dy3Mg2 PBE-GGA relaxed; values from VASP
! Space group: Cmcm, No. 63
! E_form, eV per atom: 0.068
! Calculated volume, Å³/cell: 494.0
&SYSTEM
  ibrav = 0, nat = 16, ntyp = 3
/
ATOMIC_SPECIES
Sm 150.36 Sm.upf
Dy 162.50 Dy.upf
Mg 24.30 Mg.upf
CELL_PARAMETERS angstrom
2.6730 -5.8825 0.0000
2.6730 5.8825 0.0000
0.0000 0.0000 15.7079
ATOMIC_POSITIONS crystal
Sm 0.0398 0.9602 0.6036
Sm 0.0398 0.9602 0.8964
Sm 0.2482 0.7518 0.7500
Sm 0.7518 0.2482 0.2500
Sm 0.9602 0.0398 0.1036
Sm 0.9602 0.0398 0.3964
Dy 0.3548 0.6452 0.5336
Dy 0.3548 0.6452 0.9664
Dy 0.4753 0.5247 0.2500
Dy 0.5247 0.4753 0.7500
Dy 0.6452 0.3548 0.0336
Dy 0.6452 0.3548 0.4664
Mg 0.2274 0.7726 0.1457
Mg 0.2274 0.7726 0.3543
Mg 0.7726 0.2274 0.6457
Mg 0.7726 0.2274 0.8543

(4)
! RbHg3Pt PBE-GGA relaxed; values from VASP
! Space group: Cmcm, No. 63
! Energy above the most stable polymorph in this dataset, meV per atom: 254
! E_form, eV per atom: -0.028
! Calculated volume, Å³/cell: 319.3
&SYSTEM
  ibrav = 0, nat = 10, ntyp = 3
/
ATOMIC_SPECIES
Rb 85.47 Rb.upf
Hg 200.59 Hg.upf
Pt 195.08 Pt.upf
CELL_PARAMETERS angstrom
3.9826 -6.5321 0.0000
3.9826 6.5321 0.0000
0.0000 0.0000 6.1363
ATOMIC_POSITIONS crystal
Rb 0.0793 0.9207 0.7500
Rb 0.9207 0.0793 0.2500
Hg 0.0416 0.6100 0.2500
Hg 0.3900 0.9584 0.2500
Hg 0.5000 0.5000 0.0000
Hg 0.5000 0.5000 0.5000
Hg 0.6100 0.0416 0.7500
Hg 0.9584 0.3900 0.7500
Pt 0.3298 0.6702 0.7500
Pt 0.6702 0.3298 0.2500